Entry 1:
This record from the Alexandria database describes a geometry-optimized CaTlBrF2 structure. The functional is PBE.

a = 4.5386 Å, b = 4.5386 Å, c = 5.9854 Å
α = 90.00°, β = 90.00°, γ = 90.00°
Positions (direct):
Ca  0.0000  0.0000  0.0000
Tl  0.5000  0.5000  0.5000
Br  0.0000  0.0000  0.5000
F  0.0000  0.5000  0.0000
F  0.5000  0.0000  0.0000

As for the total DFT energy (no corrections): -22.383 eV per cell. For the raw formation energy, the calculation gives -2520 meV/atom. The space-group type is P4/mmm, No. 123. For the density of states at the Fermi level, the calculation gives 0.00 states/eV/cell.



Entry 2:
This record from the Alexandria database describes a geometry-optimized K8Zr6BBr20 structure. The functional is PBE.

a = 11.7318 Å, b = 11.7318 Å, c = 11.7318 Å
α = 60.00°, β = 60.00°, γ = 60.00°
Positions (direct):
K  0.1396  0.1396  0.1396
K  0.1396  0.1396  0.5812
K  0.1396  0.5812  0.1396
K  0.4188  0.8604  0.8604
K  0.5812  0.1396  0.1396
K  0.8604  0.4188  0.8604
K  0.8604  0.8604  0.4188
K  0.8604  0.8604  0.8604
Zr  0.3596  0.3596  0.6404
Zr  0.3596  0.6404  0.3596
Zr  0.3596  0.6404  0.6404
Zr  0.6404  0.3596  0.3596
Zr  0.6404  0.3596  0.6404
Zr  0.6404  0.6404  0.3596
B  0.5000  0.5000  0.5000
Br  0.1723  0.5000  0.5000
Br  0.1723  0.5000  0.8277
Br  0.1723  0.8277  0.5000
Br  0.1836  0.1836  0.8164
Br  0.1836  0.8164  0.1836
Br  0.1836  0.8164  0.8164
Br  0.2500  0.2500  0.2500
Br  0.5000  0.1723  0.5000
Br  0.5000  0.1723  0.8277
Br  0.5000  0.5000  0.1723
Br  0.5000  0.5000  0.8277
Br  0.5000  0.8277  0.1723
Br  0.5000  0.8277  0.5000
Br  0.7500  0.7500  0.7500
Br  0.8164  0.1836  0.1836
Br  0.8164  0.1836  0.8164
Br  0.8164  0.8164  0.1836
Br  0.8277  0.1723  0.5000
Br  0.8277  0.5000  0.1723
Br  0.8277  0.5000  0.5000

As for the total DFT energy (no corrections): -154.672 eV per cell. For the raw formation energy, the calculation gives -1556 meV/atom. The space-group type is Fm-3m, No. 225. For the density of states at the Fermi level, the calculation gives 6.55 states/eV/cell.